The following is a DFT calculation (PBE) of crystalline HoGa8Ni4 at its relaxed geometry.

It has space group I4/mmm (No. 139), with a = 8.577 Å, b = 8.577 Å, c = 5.177 Å, α = 90.00°, β = 90.00° and γ = 90.00°. The distinct sites, in fractional coordinates, are Ho at (0.000, 0.000, 0.000), Ga at (0.000, 0.221, 0.500), Ga at (0.000, 0.343, 0.000) and Ni at (0.250, 0.250, 0.250).

For the formation enthalpy at 0 K, the calculation gives -0.431 eV per atom. As for the crystal system: tetragonal.



The following is a DFT calculation (PBE) of crystalline Ce3Ir at its relaxed geometry.

It has space group Pnma (No. 62), with a = 6.992 Å, b = 9.745 Å, c = 6.111 Å, α = 90.00°, β = 90.00° and γ = 90.00°. The distinct sites, in fractional coordinates, are Ce at (0.032, 0.250, 0.131), Ce at (0.161, 0.054, 0.632) and Ir at (0.132, 0.750, 0.406).

For the formation enthalpy at 0 K, the calculation gives -0.400 eV per atom. As for the crystal system: orthorhombic.



The following is a DFT calculation (PBE) of crystalline LiNiRh2 at its relaxed geometry.

It has space group Pmmm (No. 47), with a = 2.741 Å, b = 4.285 Å, c = 4.486 Å, α = 90.00°, β = 90.00° and γ = 90.00°. The distinct sites, in fractional coordinates, are Li at (0.000, 0.000, 0.000), Ni at (0.500, 0.000, 0.500), Rh at (0.000, 0.500, 0.500) and Rh at (0.500, 0.500, 0.000).

For the formation enthalpy at 0 K, the calculation gives 0.027 eV per atom. As for the crystal system: orthorhombic. As for the offset from the most stable computed form: 0.090 eV per atom.



The following is a DFT calculation (PBE) of crystalline LiFeSb2 at its relaxed geometry.

It has space group Cmmm (No. 65), with a = 6.323 Å, b = 7.658 Å, c = 3.200 Å, α = 90.00°, β = 90.00° and γ = 90.00°. The distinct sites, in fractional coordinates, are Li at (0.000, 0.000, 0.000), Fe at (0.000, 0.500, 0.000) and Sb at (0.250, 0.250, 0.500).

As for the crystal system: orthorhombic. The calculation puts the uncorrected formation energy at 0.10 eV per atom. As for the offset from the most stable computed form: 0.191 eV per atom.



The following is a DFT calculation (PBE) of crystalline TiTcW at its relaxed geometry.

It has space group Amm2 (No. 38), with a = 4.426 Å, b = 3.128 Å, c = 13.405 Å, α = 90.00°, β = 90.00° and γ = 90.00°. The distinct sites, in fractional coordinates, are Ti at (0.000, 0.000, 0.000), Ti at (0.000, 0.000, 0.323), Tc at (0.000, 0.000, 0.662), Tc at (0.500, 0.000, 0.828), W at (0.500, 0.000, 0.161) and W at (0.500, 0.000, 0.491).

For the formation enthalpy at 0 K, the calculation gives -0.290 eV per atom. As for the crystal system: orthorhombic. As for the offset from the most stable computed form: 0.083 eV per atom.



The following is a DFT calculation (PBE) of crystalline Cd2SnCl at its relaxed geometry.

It has space group I-42d (No. 122), with a = 6.586 Å, b = 6.586 Å, c = 12.853 Å, α = 90.00°, β = 90.00° and γ = 90.00°. The distinct sites, in fractional coordinates, are Cd at (0.248, 0.250, 0.125), Sn at (0.000, 0.000, 0.000) and Cl at (0.000, 0.000, 0.500).

As for the crystal system: tetragonal. The calculation puts the uncorrected formation energy at -0.17 eV per atom. As for the offset from the most stable computed form: 0.072 eV per atom.